Entry 1:
PBE-GGA Mg2Ag3Au, optimized geometry; DFT formation energy = -196.9 meV/atom; energy relative to the lowest polymorph listed for this composition = 0.0 kJ/mol of atoms; magnetic moment = 0.00 μB per formula unit
1.0
-0.094 3.903 -3.143
-4.888 -7.728 -1.458
-1.732 6.532 3.883
Mg Ag Au
4 6 2
Direct
0.359 0.030 0.889
0.641 0.970 0.111
0.744 0.542 0.180
0.256 0.458 0.820
0.308 0.587 0.555
0.906 0.927 0.634
0.602 0.224 0.661
0.398 0.776 0.339
0.094 0.073 0.366
0.692 0.413 0.445
0.911 0.692 0.929
0.089 0.308 0.071

=====

Entry 2:
PBE-GGA TlPdI2F, optimized geometry; magnetic moment = 0.00 μB per formula unit; formation energy from raw total energies = -654 meV per atom
1.0
5.663 0.000 0.000
0.000 5.663 0.000
0.000 0.000 4.331
I Tl Pd F
2 1 1 1
Direct
0.000 0.500 0.000
0.500 0.000 0.000
0.500 0.500 0.500
0.000 0.000 0.000
0.000 0.000 0.500

=====

Entry 3:
PBE-GGA TlTe2Os, optimized geometry; energy relative to the lowest polymorph listed for this composition = 53.4 kJ/mol of atoms; magnetic moment = 0.00 μB per formula unit; formation energy from raw total energies = 663 meV per atom
1.0
-4.141 2.167 10.865
-2.176 -0.202 11.624
-1.083 2.769 11.448
Tl Te Os
1 2 1
Direct
0.500 0.500 0.500
0.927 0.927 0.927
0.073 0.073 0.073
0.000 0.000 0.000

=====

Entry 4:
PBE-GGA Ca2BiAu2, optimized geometry; DFT formation energy = -605.1 meV/atom; energy relative to the lowest polymorph listed for this composition = 16.6 kJ/mol of atoms; magnetic moment = 0.00 μB per formula unit
1.0
8.545 0.000 0.000
0.000 8.545 0.000
0.000 0.000 3.680
Ca Au Bi
4 4 2
Direct
0.338 0.838 0.000
0.838 0.662 0.000
0.662 0.162 0.000
0.162 0.338 0.000
0.125 0.625 0.500
0.625 0.875 0.500
0.875 0.375 0.500
0.375 0.125 0.500
0.000 0.000 0.000
0.500 0.500 0.000

=====

Entry 5:
PBE-GGA KTaHg, optimized geometry; DFT formation energy = 1227.1 meV/atom; energy relative to the lowest polymorph listed for this composition = 90.6 kJ/mol of atoms; magnetic moment = 1.14 μB per formula unit
1.0
3.982 -2.299 0.000
0.000 4.599 0.000
0.000 0.000 5.700
K Hg Ta
1 1 1
Direct
0.667 0.333 0.500
0.000 0.000 0.000
0.333 0.667 0.000

=====

Entry 6:
PBE-GGA MgAlMo2, optimized geometry; DFT formation energy = 426.7 meV/atom; energy relative to the lowest polymorph listed for this composition = 40.5 kJ/mol of atoms; magnetic moment = 1.95 μB per formula unit
1.0
0.000 3.184 3.184
3.184 0.000 3.184
3.184 3.184 0.000
Mg Mo Al
1 2 1
Direct
0.000 0.000 0.000
0.250 0.250 0.250
0.750 0.750 0.750
0.500 0.500 0.500

=====

Entry 7:
PBE-GGA Th4IrRh12, optimized geometry; DFT formation energy = -624.4 meV/atom; magnetic moment = 0.00 μB per formula unit
1.0
-0.890 -6.651 -3.005
6.507 2.757 -2.031
-0.241 -0.569 7.327
Th Ir Rh
4 1 12
Direct
0.000 0.000 0.500
0.500 0.000 0.000
0.500 0.500 0.500
0.000 0.500 0.000
0.000 0.000 0.000
0.000 0.297 0.297
0.000 0.703 0.703
0.703 0.703 0.000
0.297 0.297 0.000
0.297 0.000 0.297
0.703 0.000 0.703
0.500 0.250 0.750
0.500 0.750 0.250
0.750 0.250 0.500
0.250 0.750 0.500
0.750 0.500 0.250
0.250 0.500 0.750

=====

Entry 8:
PBE-GGA LaTbPm6Ho2, optimized geometry; DFT formation energy = 116.7 meV/atom; magnetic moment = 0.00 μB per formula unit
1.0
-0.830 0.411 9.711
-8.375 -2.854 -1.242
6.471 -6.158 0.166
La Tb Pm Ho
2 2 12 4
Direct
0.250 0.406 0.594
0.750 0.594 0.406
0.250 0.970 0.030
0.750 0.030 0.970
0.055 0.111 0.759
0.445 0.241 0.889
0.945 0.889 0.241
0.555 0.759 0.111
0.319 0.980 0.433
0.181 0.567 0.020
0.681 0.020 0.567
0.819 0.433 0.980
0.121 0.705 0.490
0.379 0.510 0.295
0.879 0.295 0.510
0.621 0.490 0.705
0.454 0.805 0.708
0.046 0.292 0.195
0.546 0.195 0.292
0.954 0.708 0.805

=====

Entry 9:
PBE-GGA CeHfGaTc, optimized geometry; DFT formation energy = -208.0 meV/atom; magnetic moment = 0.00 μB per formula unit
1.0
4.839 0.000 0.000
2.420 4.191 0.000
2.420 1.397 3.951
Ga Hf Tc Ce
1 1 1 1
Direct
0.250 0.250 0.250
0.500 0.500 0.500
0.750 0.750 0.750
0.000 0.000 0.000

=====

Entry 10:
PBE-GGA DyCuGe2, optimized geometry; DFT formation energy = -377.7 meV/atom; magnetic moment = 0.00 μB per formula unit
1.0
-3.384 1.523 -1.771
-2.407 -2.307 2.614
-0.026 3.188 2.791
Ge Cu Dy
2 1 1
Direct
0.000 0.000 0.500
0.000 0.500 0.000
0.500 0.500 0.500
0.500 0.000 0.000

=====

Number 1: Fermi-level density of states 3.39 states/eV/cell. Number 2: Fermi-level density of states 2.94 states/eV/cell. Number 3: Fermi-level density of states 2.52 states/eV/cell. Number 4: Fermi-level density of states 2.79 states/eV/cell. Number 5: Fermi-level density of states 2.39 states/eV/cell. Number 6: Fermi-level density of states 5.00 states/eV/cell. Number 7: Fermi-level density of states 22.48 states/eV/cell. Number 8: Fermi-level density of states 29.76 states/eV/cell. Number 9: Fermi-level density of states 3.89 states/eV/cell. Number 10: Fermi-level density of states 1.55 states/eV/cell.